Version P
Entry from Alexandria via LeMat-Bulk: an optimized crystal structure of LiNdDyZn (GGA-PBE).

Lattice parameters (Å, degrees): 3.6828 3.6828 7.4223 90.00 90.00 90.00
With the nearest neighbours (Å) after each atom.
Space group P4mm (No. 99)
Inequivalent atoms, fractional coordinates:
Li  0.0000  0.0000  0.0000 x1  4 Dy 3.23, 4 Nd 3.32, 1 Zn 3.53
Nd  0.5000  0.5000  0.7227 x1  4 Zn 3.18, 4 Li 3.32, 1 Dy 3.46
Dy  0.5000  0.5000  0.2568 x1  4 Zn 3.07, 4 Li 3.23
Zn  0.0000  0.0000  0.4760 x1  4 Dy 3.07, 4 Nd 3.18

=====

Version Q
Entry from Alexandria via LeMat-Bulk: an optimized crystal structure of LiNdDyZn (GGA-PBE).

Lattice parameters (Å, degrees): 7.3372 7.3372 7.3372 90.00 90.00 90.00
With the nearest neighbours (Å) after each atom.
Space group F-43m (No. 216)
Inequivalent atoms, fractional coordinates:
Li  0.0000  0.0000  0.0000 x4  4 Dy 3.18, 4 Nd 3.18
Nd  0.2500  0.2500  0.2500 x4  4 Li 3.18, 4 Zn 3.18
Dy  0.2500  0.2500  0.7500 x4  4 Li 3.18, 4 Zn 3.18
Zn  0.0000  0.0000  0.5000 x4  4 Dy 3.18, 4 Nd 3.18

=====

Q: Which of them is the most stable? A: version P.

=====

Version P
Entry from Alexandria via LeMat-Bulk: an optimized crystal structure of LiDyO (GGA-PBE).

Lattice parameters (Å, degrees): 12.0024 6.7465 5.3342 90.00 90.00 90.00
With the nearest neighbours (Å) after each atom.
Space group Cmce (No. 64)
Inequivalent atoms, fractional coordinates:
Li  0.0000  0.1494  0.0712 x8  3 O 1.90-1.97
Dy  0.1470  0.0000  0.5000 x8  2 O 2.21
O  0.0000  0.0920  0.7221 x8  3 Li 1.90-1.97

=====

Version Q
Entry from Alexandria via LeMat-Bulk: an optimized crystal structure of LiDyO (GGA-PBE).

Lattice parameters (Å, degrees): 3.6340 3.6340 5.9704 90.00 90.00 120.00
With the nearest neighbours (Å) after each atom.
Space group P3m1 (No. 156)
Inequivalent atoms, fractional coordinates:
Li  0.0000  0.0000  0.0000 x1  3 O 3.32, 3 Dy 3.50, 6 Li 3.63
Dy  0.6667  0.3333  0.4691 x1  3 O 2.18
O  0.3333  0.6667  0.5698 x1  3 Dy 2.18

=====

Q: Which of them is the most stable? A: version P.

=====

Version P
Entry from Alexandria via LeMat-Bulk: an optimized crystal structure of LiDyRhPb (GGA-PBE).

Lattice parameters (Å, degrees): 10.4273 3.6059 4.5812 90.00 107.52 90.00
With the nearest neighbours (Å) after each atom.
Space group Cm (No. 8)
Inequivalent atoms, fractional coordinates:
Li  0.0000  0.0000  0.0000 x2  4 Pb 2.81-3.07, 2 Rh 2.92, 1 Dy 2.94
Dy  0.2273  0.0000  0.7436 x2  4 Rh 2.91-2.92, 1 Li 2.94, 3 Pb 3.16-3.25
Rh  0.2270  0.5000  0.2414 x2  4 Dy 2.91-2.92, 2 Li 2.92, 3 Pb 2.95-3.16
Pb  0.4617  0.0000  0.4373 x2  4 Li 2.81-3.07, 2 Rh 2.95

=====

Version Q
Entry from Alexandria via LeMat-Bulk: an optimized crystal structure of LiDyRhPb (GGA-PBE).

Lattice parameters (Å, degrees): 6.7848 6.7848 6.7848 90.00 90.00 90.00
With the nearest neighbours (Å) after each atom.
Space group F-43m (No. 216)
Inequivalent atoms, fractional coordinates:
Li  0.0000  0.0000  0.0000 x4  4 Dy 2.94, 4 Pb 2.94
Dy  0.2500  0.2500  0.7500 x4  4 Li 2.94, 4 Rh 2.94
Rh  0.0000  0.0000  0.5000 x4  4 Pb 2.94, 4 Dy 2.94
Pb  0.2500  0.2500  0.2500 x4  4 Li 2.94, 4 Rh 2.94

=====

Q: Which of them is the most stable? A: version Q.

=====

Version P
Entry from Alexandria via LeMat-Bulk: an optimized crystal structure of Li2DyPd3 (GGA-PBE).

Lattice parameters (Å, degrees): 4.4876 4.4876 5.6690 90.00 90.00 120.00
With the nearest neighbours (Å) after each atom.
Space group P-3m1 (No. 164)
Inequivalent atoms, fractional coordinates:
Li  0.3333  0.6667  0.1639 x2  7 Pd 2.57-2.75
Dy  0.0000  0.0000  0.5000 x1  8 Pd 2.83-2.85
Pd  0.0000  0.0000  0.0000 x1  6 Li 2.75, 2 Dy 2.83, 6 Pd 3.06
Pd  0.3333  0.6667  0.7114 x2  4 Li 2.57-2.69, 3 Dy 2.85

=====

Version Q
Entry from Alexandria via LeMat-Bulk: an optimized crystal structure of Li2DyPd3 (GGA-PBE).

Lattice parameters (Å, degrees): 4.3915 6.7861 6.9312 90.00 108.40 90.00
With the nearest neighbours (Å) after each atom.
Space group P2/m (No. 10)
Inequivalent atoms, fractional coordinates:
Li  0.0000  0.0000  0.0000 x1  8 Pd 2.64-2.65
Li  0.0000  0.5000  0.0000 x1  8 Pd 2.85-2.92, 4 Dy 2.98
Li  0.3295  0.0000  0.6585 x2  8 Pd 2.66-2.68
Dy  0.3471  0.5000  0.6935 x2  8 Pd 2.79-3.03, 2 Li 2.98
Pd  0.1642  0.2271  0.3287 x4  5 Li 2.65-2.85, 2 Dy 2.88
Pd  0.5000  0.2161  0.0000 x2  6 Li 2.64-2.92, 2 Dy 2.79, 1 Pd 2.93

=====

Q: Which of them is the most stable? A: version Q.

=====

Version P
Entry from Alexandria via LeMat-Bulk: an optimized crystal structure of LiDy2Pd3 (GGA-PBE).

Lattice parameters (Å, degrees): 3.4696 3.4696 9.5414 90.00 90.00 90.00
With the nearest neighbours (Å) after each atom.
Space group P4/mmm (No. 123)
Inequivalent atoms, fractional coordinates:
Li  0.0000  0.0000  0.0000 x1  8 Pd 2.83, 2 Dy 3.01
Dy  0.0000  0.0000  0.3150 x2  8 Pd 2.93-3.02, 1 Li 3.01
Pd  0.5000  0.5000  0.1470 x2  1 Pd 2.81, 4 Li 2.83, 4 Dy 2.93
Pd  0.5000  0.5000  0.5000 x1  8 Dy 3.02, 2 Pd 3.37

=====

Version Q
Entry from Alexandria via LeMat-Bulk: an optimized crystal structure of LiDy2Pd3 (GGA-PBE).

Lattice parameters (Å, degrees): 4.8386 4.8386 11.5700 90.00 90.00 120.00
With the nearest neighbours (Å) after each atom.
Space group P-3m1 (No. 164)
Inequivalent atoms, fractional coordinates:
Li  0.3333  0.6667  0.1658 x2  8 Pd 2.72-3.01
Dy  0.0000  0.0000  0.0000 x1  8 Pd 2.88-2.91
Dy  0.0000  0.0000  0.5000 x1  8 Pd 2.90-2.96
Dy  0.3333  0.6667  0.6854 x2  8 Pd 2.84-3.11
Pd  0.0000  0.0000  0.2493 x2  5 Dy 2.88-2.90, 3 Li 2.96
Pd  0.3333  0.6667  0.4164 x2  1 Li 2.90, 7 Dy 2.96-3.11
Pd  0.3333  0.6667  0.9305 x2  4 Li 2.72-3.01, 4 Dy 2.84-2.91

=====

Q: Which of them is the most stable? A: version P.

=====

Version P
Entry from Alexandria via LeMat-Bulk: an optimized crystal structure of Li2DyPd4 (GGA-PBE).

Lattice parameters (Å, degrees): 5.7559 6.5015 7.4939 114.71 112.29 90.09
With the nearest neighbours (Å) after each atom.
Space group P1 (No. 1)
Inequivalent atoms, fractional coordinates:
Li  0.0000  0.0000  0.0000 x1  7 Pd 2.47-2.74
Li  0.1216  0.6331  0.2434 x1  7 Pd 2.47-2.75
Li  0.3119  0.1317  0.6244 x1  7 Pd 2.55-2.60
Li  0.8168  0.1317  0.6321 x1  7 Pd 2.55-2.58
Dy  0.4542  0.6677  0.9083 x1  9 Pd 2.82-3.11, 1 Li 3.13
Dy  0.6748  0.3933  0.3495 x1  9 Pd 2.79-3.02, 1 Li 3.12
Pd  0.0636  0.7988  0.6246 x1  4 Li 2.58-2.75, 2 Dy 2.85-2.86, 4 Pd 2.87-2.89
Pd  0.2046  0.3688  0.4099 x1  2 Li 2.47-2.58
Pd  0.2385  0.2943  0.9709 x1  4 Li 2.48-2.60
Pd  0.3990  0.9614  0.2864 x1  4 Li 2.50-2.58
Pd  0.5616  0.7995  0.6243 x1  4 Li 2.58-2.77, 2 Dy 2.85-2.86, 2 Pd 2.87-2.88
Pd  0.7310  0.2937  0.9699 x1  4 Li 2.49-2.61, 1 Dy 2.79
Pd  0.8875  0.9604  0.2859 x1  4 Li 2.49-2.57
Pd  0.9175  0.5745  0.8348 x1  3 Li 2.47-2.68

=====

Version Q
Entry from Alexandria via LeMat-Bulk: an optimized crystal structure of Li2DyPd4 (GGA-PBE).

Lattice parameters (Å, degrees): 6.5206 6.5206 5.7892 90.00 90.00 90.00
With the nearest neighbours (Å) after each atom.
Space group I4/mmm (No. 139)
Inequivalent atoms, fractional coordinates:
Li  0.0000  0.5000  0.0000 x4  8 Pd 2.72, 2 Li 2.89
Dy  0.0000  0.0000  0.0000 x2  8 Pd 2.72
Pd  0.2500  0.2500  0.2500 x8  2 Dy 2.72, 4 Li 2.72, 2 Pd 2.89

=====

Q: Which of them is the most stable? A: version P.